Here is a geometry-optimized RbGaPt structure from the Open Quantum Materials Database. Energies are from GGA-PBE.

Results
crystal system: cubic
energy above the most stable polymorph in this dataset: 602 meV per atom

a b c (Å): 5.141 5.141 5.141
angles (deg): 60.00 60.00 60.00
Element x y z (fractional)
Rb 0.000 0.000 0.000
Ga 0.750 0.750 0.750
Pt 0.250 0.250 0.250

Here is a geometry-optimized RbGaPt structure from the Open Quantum Materials Database. Energies are from GGA-PBE.

Results
crystal system: cubic
energy above the most stable polymorph in this dataset: 93 meV per atom

a b c (Å): 4.900 4.900 4.900
angles (deg): 60.00 60.00 60.00
Element x y z (fractional)
Rb 0.000 0.000 0.000
Ga 0.750 0.750 0.750
Pt 0.500 0.500 0.500